The following is a PBE calculation of a relaxed structure of Ho4AlZnCd2, from the Alexandria database.

Uncorrected energy (eV for the cell shown): -83.4
Total magnetization (μB per cell): 0.00
ΔE_f (eV/f.u.): -2.641

Geometry as CIF:
```
data_Ho4AlZnCd2
_symmetry_space_group_name_H-M 'R -3 m'
_symmetry_Int_Tables_number 166
_symmetry_space_group_name_Hall '-R 3 2"'
_cell_length_a 5.1671
_cell_length_b 5.1671
_cell_length_c 25.3422
_cell_angle_alpha 90.00
_cell_angle_beta 90.00
_cell_angle_gamma 120.00
loop_
_atom_site_label
_atom_site_type_symbol
_atom_site_fract_x
_atom_site_fract_y
_atom_site_fract_z
Ho1 Ho 0.0000 0.0000 0.1239
Ho2 Ho 0.0000 0.0000 0.3739
Al1 Al 0.0000 0.0000 0.5000
Zn1 Zn 0.0000 0.0000 0.0000
Cd1 Cd 0.0000 0.0000 0.2494
```